# 1
This record from Alexandria describes Y5GaCo5 at its PBEsol-relaxed geometry. The functional is meta-GGA SCAN.

Cell and atoms, written as POSCAR:
```
Y5GaCo5
1.0
-0.873 -2.410 -3.069
5.031 -0.776 1.783
-6.717 -13.964 12.873
Y Co Ga
10 10 2
Cartesian
-1.094 -9.060 7.424 Y
-5.611 -11.801 10.861 Y
1.798 -7.959 3.132 Y
1.016 -2.934 -0.590 Y
-2.338 -11.637 9.801 Y
3.053 -5.348 0.726 Y
-3.575 -14.216 12.177 Y
-0.220 -5.513 1.786 Y
-4.356 -9.191 8.454 Y
-1.464 -8.089 4.162 Y
0.358 -5.995 4.605 Co
0.870 -7.819 5.892 Co
-6.001 -14.680 10.627 Co
-4.602 -12.054 8.167 Co
-4.211 -13.848 9.465 Co
2.044 -5.096 3.420 Co
-3.428 -9.330 5.695 Co
3.443 -2.470 0.960 Co
1.653 -3.302 2.122 Co
-2.916 -11.155 6.982 Co
-3.358 -6.982 6.436 Ga
0.000 0.000 0.000 Ga
```

## Properties
- Fermi-level density of states: 7.5 states/eV/f.u.
- Size of the total moment: 0.00 μB per formula unit
- E_form: -0.198 eV per atom
- Space-group type: Cmcm, No. 63

***

# 2
This record from Alexandria describes Y4GaCo4 at its PBEsol-relaxed geometry. The functional is meta-GGA SCAN.

Cell and atoms, written as POSCAR:
```
Y4GaCo4
1.0
4.003 0.000 0.000
2.002 5.004 -0.004
2.002 1.936 8.178
Co Y Ga
4 4 1
Cartesian
6.005 4.293 2.899 Co
2.002 2.647 5.274 Co
4.003 0.547 0.981 Co
4.003 6.392 7.192 Co
6.005 5.515 5.401 Y
2.002 1.424 2.772 Y
4.003 3.380 7.232 Y
4.003 3.559 0.941 Y
4.003 3.470 4.087 Ga
```

## Properties
- Fermi-level density of states: 7.7 states/eV/f.u.
- Size of the total moment: 0.00 μB per formula unit
- E_form: -0.223 eV per atom
- Space-group type: C2/m, No. 12